Record 1
The following is a DFT calculation (PBE) of crystalline Ac2InSe2O2 at its relaxed geometry.

Output
**Uncorrected formation energy**: -2.16 eV per atom
**Symmetry**: No. 12

Unit cell a=4.1547 b=6.6327 c=7.2337 alpha=65.88 beta=73.31 gamma=71.75
With the nearest neighbours (Å) after each atom.
Sites, in units of the cell vectors:
Ac 0.1912 0.3630 0.2546  3 O 2.40-2.48
Ac 0.8088 0.6370 0.7454  3 O 2.40-2.48
In 0.0000 0.0000 0.0000  2 O 2.40
Se 0.5576 0.2050 0.6799  2 In 2.98
Se 0.4424 0.7950 0.3201  2 In 2.98
O 0.2127 0.6651 0.9096  1 In 2.40, 3 Ac 2.40-2.48
O 0.7873 0.3349 0.0904  1 In 2.40, 3 Ac 2.40-2.48

=====

Record 2
The following is a DFT calculation (PBE) of crystalline Ac2SmInO6 at its relaxed geometry.

Output
**Uncorrected formation energy**: -2.91 eV per atom
**Symmetry**: No. 14

Unit cell a=6.0112 b=6.2052 c=8.6690 alpha=90.00 beta=90.60 gamma=90.00
With the nearest neighbours (Å) after each atom.
Sites, in units of the cell vectors:
Ac 0.0157 0.9497 0.2492  4 O 2.48-2.61
Ac 0.5157 0.5503 0.7492  4 O 2.48-2.61
Ac 0.9843 0.0503 0.7508  4 O 2.48-2.61
Ac 0.4843 0.4497 0.2508  4 O 2.48-2.61
Sm 0.5000 0.0000 0.0000  6 O 2.32-2.34
Sm 0.0000 0.5000 0.5000  6 O 2.32-2.34
In 0.5000 0.0000 0.5000  6 O 2.20-2.25
In 0.0000 0.5000 0.0000  6 O 2.20-2.25
O 0.2933 0.6960 0.0623  1 In 2.20, 1 Sm 2.33
O 0.7933 0.8040 0.5623  1 In 2.20, 1 Sm 2.33
O 0.7067 0.3040 0.9377  1 In 2.20, 1 Sm 2.33
O 0.2067 0.1960 0.4377  1 In 2.20, 1 Sm 2.33
O 0.3082 0.7055 0.4370  1 In 2.23, 1 Sm 2.32
O 0.8082 0.7945 0.9370  1 In 2.23, 1 Sm 2.32
O 0.6918 0.2945 0.5630  1 In 2.23, 1 Sm 2.32
O 0.1918 0.2055 0.0630  1 In 2.23, 1 Sm 2.32
O 0.8833 0.5497 0.2436  1 In 2.25, 1 Sm 2.34, 1 Ac 2.48
O 0.3833 0.9503 0.7436  1 In 2.25, 1 Sm 2.34, 1 Ac 2.48
O 0.1167 0.4503 0.7564  1 In 2.25, 1 Sm 2.34, 1 Ac 2.48
O 0.6167 0.0497 0.2564  1 In 2.25, 1 Sm 2.34, 1 Ac 2.48

=====

Record 3
The following is a DFT calculation (PBE) of crystalline SrAcInO at its relaxed geometry.

Output
**Uncorrected formation energy**: -1.51 eV per atom
**Symmetry**: No. 44

Unit cell a=3.9565 b=3.9267 c=8.1296 alpha=103.98 beta=104.08 gamma=90.00
With the nearest neighbours (Å) after each atom.
Sites, in units of the cell vectors:
Sr 0.6708 0.1291 0.3416  2 O 2.53
Ac 0.9761 0.4344 0.9521  2 O 2.41
In 0.3214 0.7795 0.6428  4 Sr 3.61, 4 Ac 3.65, 4 In 3.93-3.96
O 0.5666 0.5248 0.1333  2 Ac 2.41, 2 Sr 2.53

=====

Record 4
The following is a DFT calculation (PBE) of crystalline AcTaIn2O8 at its relaxed geometry.

Output
**Uncorrected formation energy**: -2.00 eV per atom
**Symmetry**: No. 10

Unit cell a=5.0142 b=4.7323 c=7.1779 alpha=90.00 beta=90.00 gamma=87.14
With the nearest neighbours (Å) after each atom.
Sites, in units of the cell vectors:
Ac 0.0000 0.0000 0.5000  6 O 2.49-2.64
Ta 0.0000 0.0000 0.0000  6 O 1.98-2.06
In 0.5000 0.5000 0.7713  6 O 2.11-2.28
In 0.5000 0.5000 0.2287  6 O 2.11-2.28
O 0.1477 0.7610 0.2056  1 Ta 1.98, 1 In 2.11
O 0.6660 0.7641 0.0000  1 Ta 2.06, 2 In 2.25
O 0.8523 0.2390 0.2056  1 Ta 1.98, 1 In 2.11
O 0.8523 0.2390 0.7944  1 Ta 1.98, 1 In 2.11
O 0.3340 0.2359 0.0000  1 Ta 2.06, 2 In 2.25
O 0.1477 0.7610 0.7944  1 Ta 1.98, 1 In 2.11
O 0.5444 0.7436 0.5000  2 In 2.28, 2 O 2.37-2.45
O 0.4556 0.2564 0.5000  2 In 2.28, 2 O 2.37-2.45

=====

Record 5
The following is a DFT calculation (PBE) of crystalline Ac2InTcO8 at its relaxed geometry.

Output
**Uncorrected formation energy**: -2.20 eV per atom
**Symmetry**: No. 2

Unit cell a=5.7850 b=5.6891 c=6.7706 alpha=100.05 beta=76.81 gamma=108.05
With the nearest neighbours (Å) after each atom.
Sites, in units of the cell vectors:
Ac 0.3486 0.5779 0.7905  6 O 2.42-2.69
Ac 0.6514 0.4221 0.2095  6 O 2.42-2.69
In 0.0000 0.0000 0.5000  2 O 2.00
Tc 0.0000 0.0000 0.0000  6 O 1.91
O 0.0853 0.7732 0.1290  1 Tc 1.91
O 0.6771 0.7736 0.0098  1 Tc 1.91
O 0.8944 0.1591 0.2627  1 Tc 1.91
O 0.9147 0.2268 0.8710  1 Tc 1.91
O 0.3229 0.2264 0.9902  1 Tc 1.91
O 0.1056 0.8409 0.7373  1 Tc 1.91
O 0.6845 0.7255 0.5148  1 In 2.00
O 0.3155 0.2745 0.4852  1 In 2.00

=====

Record 6
The following is a DFT calculation (PBE) of crystalline AcInTc2O8 at its relaxed geometry.

Output
**Uncorrected formation energy**: -1.75 eV per atom
**Symmetry**: No. 82

Unit cell a=5.5680 b=5.5680 c=7.3301 alpha=112.32 beta=112.32 gamma=90.00
With the nearest neighbours (Å) after each atom.
Sites, in units of the cell vectors:
Ac 0.7500 0.2500 0.5000  8 O 2.61-2.64
In 0.0000 0.0000 0.0000  8 O 2.74-2.75
Tc 0.5000 0.5000 0.0000  4 O 1.80
Tc 0.2500 0.7500 0.5000  4 O 1.81
O 0.7020 0.8202 0.1602  1 Tc 1.80
O 0.4582 0.3399 0.1602  1 Tc 1.80
O 0.5623 0.6763 0.6461  1 Tc 1.81
O 0.0838 0.9698 0.6461  1 Tc 1.81
O 0.0302 0.4377 0.3539  1 Tc 1.81
O 0.3237 0.9162 0.3539  1 Tc 1.81
O 0.1798 0.5418 0.8398  1 Tc 1.80
O 0.6601 0.2980 0.8398  1 Tc 1.80

=====

Record 7
The following is a DFT calculation (PBE) of crystalline Ac4TlInO at its relaxed geometry.

Output
**Uncorrected formation energy**: -0.96 eV per atom
**Symmetry**: No. 63

Unit cell a=7.2405 b=7.2549 c=9.8023 alpha=90.00 beta=111.67 gamma=90.00
With the nearest neighbours (Å) after each atom.
Sites, in units of the cell vectors:
Ac 0.9301 0.2500 0.8602  3 Tl 3.34-3.71, 1 O 3.34, 2 In 3.71
Ac 0.4279 0.7500 0.8558  1 O 3.18, 1 In 3.38
Ac 0.0699 0.7500 0.1398  3 Tl 3.34-3.71, 1 O 3.34, 2 In 3.71
Ac 0.5721 0.2500 0.1442  1 O 3.18, 1 In 3.38
Ac 0.5000 0.5000 0.5000  2 O 2.56
Ac 0.0000 0.0000 0.5000  2 O 2.56
Ac 0.5000 0.0000 0.5000  2 O 2.56
Ac 0.0000 0.5000 0.5000  2 O 2.56
Tl 0.1132 0.2500 0.2265  9 Ac 3.34-3.71
Tl 0.8868 0.7500 0.7735  9 Ac 3.34-3.71
In 0.6135 0.7500 0.2270  9 Ac 3.38-3.71
In 0.3865 0.2500 0.7730  9 Ac 3.38-3.71
O 0.2532 0.7500 0.5064  4 Ac 2.56
O 0.7468 0.2500 0.4936  4 Ac 2.56

=====

Record 8
The following is a DFT calculation (PBE) of crystalline Ac3Tl3InO8 at its relaxed geometry.

Output
**Uncorrected formation energy**: -1.93 eV per atom
**Symmetry**: No. 166

Unit cell a=7.5410 b=7.5408 c=7.6165 alpha=119.68 beta=90.00 gamma=120.00
With the nearest neighbours (Å) after each atom.
Sites, in units of the cell vectors:
Ac 0.5000 0.0000 0.5000  6 O 2.48-2.55
Ac 0.5000 0.5000 0.5000  6 O 2.48-2.55
Ac 0.0000 0.5000 0.5000  6 O 2.48-2.55
Tl 0.0000 0.0000 0.0000  6 O 2.87-2.91
Tl 0.0000 0.5000 0.0000  6 O 2.87-2.91
Tl 0.5000 0.5000 0.0000  6 O 2.87-2.91
In 0.0000 0.0000 0.5000  6 O 2.30
O 0.2700 0.5401 0.3101  3 Ac 2.48
O 0.7300 0.4599 0.6899  3 Ac 2.48
O 0.7861 0.5722 0.3154  1 In 2.30, 2 Ac 2.55
O 0.2139 0.4278 0.6846  1 In 2.30, 2 Ac 2.55
O 0.7861 0.0293 0.3154  1 In 2.30, 2 Ac 2.55
O 0.2139 0.9707 0.6846  1 In 2.30, 2 Ac 2.55
O 0.2432 0.0293 0.3154  1 In 2.30, 2 Ac 2.55
O 0.7568 0.9707 0.6846  1 In 2.30, 2 Ac 2.55